DFT (GGA-PBE) results for a relaxed Tb8Y5Mg crystal.

Lattice parameters (Å, degrees): 8.4451 8.4451 8.4451 110.34 107.75 110.34
Last column: nearest neighbours and their distance in Å.
Fractional positions:
Y 0.8134 0.6893 0.7132  8 Tb 3.33-3.61, 2 Y 3.54
Y 0.5000 0.0000 0.5000  8 Tb 3.16-3.36
Y 0.2868 0.1003 0.9761  8 Tb 3.33-3.61, 2 Y 3.54
Y 0.0239 0.3107 0.1241  8 Tb 3.33-3.61, 2 Y 3.54
Y 0.8759 0.8997 0.1866  8 Tb 3.33-3.61, 2 Y 3.54
Tb 0.9303 0.0902 0.6549  5 Y 3.16-3.52, 1 Mg 3.19
Tb 0.0809 0.7373 0.4773  5 Y 3.36-3.61, 4 Tb 3.53-3.67
Tb 0.7399 0.2627 0.3436  5 Y 3.36-3.61, 4 Tb 3.53-3.67
Tb 0.5227 0.6036 0.2601  5 Y 3.36-3.61, 4 Tb 3.53-3.67
Tb 0.5648 0.9098 0.8401  5 Y 3.16-3.52, 1 Mg 3.19
Tb 0.1599 0.7247 0.0697  5 Y 3.16-3.52, 1 Mg 3.19
Tb 0.3451 0.2753 0.4352  5 Y 3.16-3.52, 1 Mg 3.19
Tb 0.6564 0.3964 0.9191  5 Y 3.36-3.61, 4 Tb 3.53-3.67
Mg 0.2500 0.5000 0.7500  4 Tb 3.19

Results
Energy relative to the elements   0.244 eV per atom

***

DFT (GGA-PBE) results for a relaxed Cd2SbAs crystal.

Lattice parameters (Å, degrees): 10.2827 10.2827 10.2827 18.47 18.47 18.47
Last column: nearest neighbours and their distance in Å.
Fractional positions:
As 0.7500 0.7500 0.7500  6 Cd 3.07, 6 As 3.30
Cd 0.4960 0.4960 0.4960  3 As 3.07, 3 Sb 3.26, 6 Cd 3.30
Cd 0.0040 0.0040 0.0040  3 As 3.07, 3 Sb 3.26, 6 Cd 3.30
Sb 0.2500 0.2500 0.2500  6 Cd 3.26, 6 Sb 3.30

Results
Energy relative to the lowest polymorph listed for this composition   184.1 meV per atom

***

DFT (GGA-PBE) results for a relaxed SrHo2PuSe4 crystal.

Lattice parameters (Å, degrees): 4.1413 7.2579 7.2134 70.80 90.00 90.00
Last column: nearest neighbours and their distance in Å.
Fractional positions:
Se 0.0000 0.7621 0.7508  3 Ho 2.87-2.91, 2 Pu 2.98, 1 Sr 3.03
Se 0.5000 0.7670 0.2402  3 Ho 2.87-2.91, 1 Pu 2.99, 2 Sr 3.03
Se 0.5000 0.2330 0.7598  3 Ho 2.87-2.91, 1 Pu 2.99, 2 Sr 3.03
Se 0.0000 0.2379 0.2492  3 Ho 2.87-2.91, 2 Pu 2.98, 1 Sr 3.03
Ho 0.0000 0.0000 0.0000  6 Se 2.87
Ho 0.5000 0.0000 0.5000  6 Se 2.91
Pu 0.5000 0.5000 0.0000  6 Se 2.98-2.99
Sr 0.0000 0.5000 0.5000  6 Se 3.03

***

DFT (GGA-PBE) results for a relaxed Re2TcTe crystal.

Lattice parameters (Å, degrees): 4.5805 4.5805 3.1043 90.00 90.00 90.00
Last column: nearest neighbours and their distance in Å.
Fractional positions:
Tc 0.5000 0.0000 0.5000  8 Re 2.77
Te 0.0000 0.5000 0.5000  8 Re 2.77
Re 0.5000 0.5000 0.0000  4 Tc 2.77, 4 Te 2.77
Re 0.0000 0.0000 0.0000  4 Tc 2.77, 4 Te 2.77

***

N(E_F) values (in states/eV per cell) by entry order: 20.0, 1.2, 11.3, 2.8.
VASP energy values (in Ry/atom) by entry order: -0.355, -0.179, -0.488, -0.654.